1.
Computed, not measured: an optimized crystal structure of Ho3MgFe at the PBE level of DFT.

## Properties
As for the total energy: -4.6932 eV per atom. As for the formation energy: 0.065 eV/atom. The calculation puts the offset from the most stable computed form at 77 meV/atom.

Unit cell a=5.1704 b=5.1704 c=5.1704 alpha=90.00 beta=90.00 gamma=90.00
Space group Pm-3m (No. 221)
Symmetry-distinct sites (fractional):
Ho 0.0000 0.0000 0.5000 [3 per cell]
Mg 0.5000 0.5000 0.5000 [1 per cell]
Fe 0.0000 0.0000 0.0000 [1 per cell]

***

2.
Computed, not measured: an optimized crystal structure of Ho4MgFe at the PBE level of DFT.

## Properties
As for the total energy: -4.7701 eV per atom. As for the formation energy: -0.042 eV/atom.

Unit cell a=13.4695 b=13.4695 c=13.4695 alpha=90.00 beta=90.00 gamma=90.00
Space group F-43m (No. 216)
Symmetry-distinct sites (fractional):
Ho 0.0000 0.0000 0.1867 [24 per cell]
Ho 0.0600 0.2500 0.7500 [24 per cell]
Ho 0.1573 0.1573 0.3427 [16 per cell]
Mg 0.0790 0.0790 0.5790 [16 per cell]
Fe 0.1378 0.1378 0.1378 [16 per cell]